# AlTlZnFe2 GGA-PBE relaxed
# formation enthalpy at 0 K = 1393 meV/atom
# raw total energy = -3.469 eV per atom
# D(E_F) = 1.574 states/eV per atom
data_AlTlZnFe2
_cell_length_a 4.991
_cell_length_b 4.991
_cell_length_c 4.894
_cell_angle_alpha 90.00
_cell_angle_beta 90.00
_cell_angle_gamma 90.00
_space_group_name_H-M_alt 'P 4/m m m'
_space_group_IT_number 123
_space_group_name_Hall '-P 4 2'
loop_
_atom_site_label
_atom_site_type_symbol
_atom_site_fract_x
_atom_site_fract_y
_atom_site_fract_z
_atom_site_occupancy
Al1 Al 0.000 0.000 0.000 1
Tl1 Tl 0.500 0.500 0.500 1
Zn1 Zn 0.500 0.500 0.000 1
Fe1 Fe 0.000 0.500 0.500 1